[1]
# La2TaN3 | Alexandria via LeMat-Bulk | PBE | relaxed
# Excess energy over the best structure of this formula in the dataset in meV per atom: 0
# ΔE_f (raw) in eV per atom: -1.32
data_La2TaN3
_chemical_formula_sum 'La16 Ta8 N24'
_space_group_name_H-M_alt 'C 1 2/c 1'
_space_group_IT_number 15
_cell_length_a 5.635
_cell_length_b 11.329
_cell_length_c 12.623
_cell_angle_alpha 90.00
_cell_angle_beta 94.29
_cell_angle_gamma 90.00
loop_
_space_group_symop_operation_xyz
'x,y,z'
'-x,-y,-z'
'-x,y,-z+1/2'
'x,-y,z+1/2'
'x+1/2,y+1/2,z'
'-x+1/2,-y+1/2,-z'
'-x+1/2,y+1/2,-z+1/2'
'x+1/2,-y+1/2,z+1/2'
loop_
_atom_site_label
_atom_site_fract_x
_atom_site_fract_y
_atom_site_fract_z
La1 0.216 0.199 0.359
La2 0.227 0.114 0.923
Ta1 0.206 0.497 0.828
N1 0.000 0.005 0.250
N2 0.000 0.361 0.250
N3 0.200 0.331 0.884
N4 0.233 0.100 0.544

---

[2]
# CsBaCu2Br6 | Alexandria via LeMat-Bulk | PBE | relaxed
# ΔE_f (raw) in eV per atom: -1.15
data_CsBaCu2Br6
_chemical_formula_sum 'Cs4 Ba4 Cu8 Br24'
_space_group_name_H-M_alt 'C 1 2/c 1'
_space_group_IT_number 15
_cell_length_a 11.425
_cell_length_b 14.974
_cell_length_c 10.028
_cell_angle_alpha 90.00
_cell_angle_beta 109.06
_cell_angle_gamma 90.00
loop_
_space_group_symop_operation_xyz
'x,y,z'
'-x,-y,-z'
'-x,y,-z+1/2'
'x,-y,z+1/2'
'x+1/2,y+1/2,z'
'-x+1/2,-y+1/2,-z'
'-x+1/2,y+1/2,-z+1/2'
'x+1/2,-y+1/2,z+1/2'
loop_
_atom_site_label
_atom_site_fract_x
_atom_site_fract_y
_atom_site_fract_z
Cs1 0.000 0.146 0.250
Ba1 0.000 0.435 0.750
Cu1 0.244 0.128 0.714
Br1 0.066 0.382 0.094
Br2 0.173 0.273 0.676
Br3 0.200 0.006 0.091